This record from the Alexandria database describes an optimized crystal structure of NbCrF3. The functional is PBE+U.

Energy above the most stable polymorph in this dataset, meV per atom: 0.0
Spin magnetization, μB per atom: 1.585

a b c (Å): 4.339 4.339 4.339
angles (deg): 90.00 90.00 90.00
Element x y z (fractional)
Nb1 0.000 0.000 0.000
Cr1 0.500 0.500 0.500
F1 0.000 0.000 0.500
F2 0.000 0.500 0.000
F3 0.500 0.000 0.000